Computed, not measured: a relaxed structure of AcB2SO8 at the PBE level of DFT.

Structure (extended XYZ):
```
12
Lattice="-3.8680 1.5503 -2.0612 -0.8519 -0.7934 -4.2410 -4.6978 -5.8130 -0.7991" Properties=species:S:1:pos:R:3 pbc="T T T"
O -2.7287 -2.1272 -1.7221
O -6.6890 -2.9290 -5.3792
O -1.4160 -0.2691 -2.7881
O -5.1420 -4.3423 -1.4560
O -4.2758 -0.7138 -5.6452
O -8.0017 -4.7870 -4.3132
O -7.0943 -3.5598 -2.4964
O -2.3234 -1.4963 -4.6049
Ac -4.7089 -2.5281 -3.5506
B -7.2064 -4.2308 -5.3874
B -2.2113 -0.8253 -1.7139
S 0.0000 0.0000 0.0000
```

Computed properties:
Its total magnetization is 0.00 μB/cell. The value obtained for the uncorrected energy is -83.1 eV for the cell shown. The energy relative to the elements, uncorrected is -1.82 eV/atom.